(P)
Material: Cr3IBr
Method: DFT, PBE
State: relaxed

a = 4.498 Å, b = 4.498 Å, c = 4.498 Å
α = 90.00°, β = 90.00°, γ = 90.00°
Space group Pm-3m (No. 221)
Unique sites:
Cr 0.000 0.000 0.500 [3 per cell]
I 0.500 0.500 0.500 [1 per cell]
Br 0.000 0.000 0.000 [1 per cell]

Summary:
Total magnetization = 0.0000 μB per atom
Fermi-level density of states = 7.53 states/eV per cell


(Q)
Material: Cr3IBr
Method: DFT, PBE
State: relaxed

a = 4.781 Å, b = 4.781 Å, c = 4.781 Å
α = 90.00°, β = 90.00°, γ = 90.00°
Space group Pm-3m (No. 221)
Unique sites:
Cr 0.000 0.000 0.500 [3 per cell]
I 0.000 0.000 0.000 [1 per cell]
Br 0.500 0.500 0.500 [1 per cell]

Summary:
Total magnetization = 0.1462 μB per atom
Fermi-level density of states = 12.25 states/eV per cell


Winner for stability: (P)


(P)
Material: CrI3Br
Method: DFT, PBE
State: relaxed

a = 5.497 Å, b = 5.497 Å, c = 5.497 Å
α = 90.00°, β = 90.00°, γ = 90.00°
Space group Pm-3m (No. 221)
Unique sites:
Cr 0.000 0.000 0.000 [1 per cell]
I 0.000 0.000 0.500 [3 per cell]
Br 0.500 0.500 0.500 [1 per cell]

Summary:
Total magnetization = 0.4000 μB per atom
Fermi-level density of states = 5.83 states/eV per cell


(Q)
Material: CrI3Br
Method: DFT, PBE
State: relaxed

a = 6.906 Å, b = 7.654 Å, c = 7.038 Å
α = 90.00°, β = 95.53°, γ = 90.00°
Space group P2_1/m (No. 11)
Unique sites:
Cr 0.011 0.250 0.012 [2 per cell]
I 0.192 0.000 0.818 [4 per cell]
I 0.275 0.750 0.282 [2 per cell]
Br 0.268 0.250 0.270 [2 per cell]

Summary:
Total magnetization = 0.4251 μB per atom
Fermi-level density of states = 11.82 states/eV per cell


Winner for stability: (Q)


(P)
Material: CrInIBr2
Method: DFT, PBE
State: relaxed

a = 4.776 Å, b = 4.776 Å, c = 5.675 Å
α = 90.00°, β = 90.00°, γ = 90.00°
Space group P4/mmm (No. 123)
Unique sites:
Cr 0.000 0.000 0.000 [1 per cell]
In 0.000 0.000 0.500 [1 per cell]
I 0.500 0.500 0.500 [1 per cell]
Br 0.000 0.500 0.000 [2 per cell]

Summary:
Total magnetization = 0.0000 μB per atom
Fermi-level density of states = 5.30 states/eV per cell


(Q)
Material: CrInIBr2
Method: DFT, PBE
State: relaxed

a = 5.222 Å, b = 5.222 Å, c = 5.734 Å
α = 90.00°, β = 90.00°, γ = 90.00°
Space group P4/mmm (No. 123)
Unique sites:
Cr 0.000 0.000 0.000 [1 per cell]
In 0.500 0.500 0.500 [1 per cell]
I 0.000 0.000 0.500 [1 per cell]
Br 0.000 0.500 0.000 [2 per cell]

Summary:
Total magnetization = 0.8000 μB per atom
Fermi-level density of states = 1.52 states/eV per cell


Winner for stability: (Q)